Entry 1:
A plane-wave DFT calculation with GGA-PBE was carried out for a relaxed structure of NdScIrRh.

```
4
Lattice="4.806 0.000 0.000 2.403 4.162 0.000 2.403 1.387 3.924" Properties=species:S:1:pos:R:3 pbc="T T T"
Sc 7.209 4.162 2.943
Nd 2.403 1.387 0.981
Ir 0.000 0.000 0.000
Rh 4.806 2.775 1.962
```

Values from the calculation:
DFT formation energy in eV/atom: -0.727


Entry 2:
A plane-wave DFT calculation with GGA-PBE was carried out for a relaxed structure of TaGaBr3.

```
5
Lattice="5.249 0.000 0.000 0.000 5.249 0.000 0.000 0.000 5.249" Properties=species:S:1:pos:R:3 pbc="T T T"
Br 0.000 0.000 2.624
Br 2.624 0.000 0.000
Ta 0.000 0.000 0.000
Br 0.000 2.624 0.000
Ga 2.624 2.624 2.624
```

Values from the calculation:
Energy above the lowest structure with this stoichiometry in meV per atom: 0
Uncorrected formation energy in eV per atom: -0.0170


Entry 3:
A plane-wave DFT calculation with GGA-PBE was carried out for a relaxed structure of HfBCCl2.

```
5
Lattice="5.035 0.000 0.000 0.000 2.953 0.000 0.000 0.000 5.035" Properties=species:S:1:pos:R:3 pbc="T T T"
Cl 0.000 0.000 2.518
B 0.000 0.000 0.000
Cl 2.518 0.000 0.000
Hf 2.518 1.477 2.518
C 0.000 1.477 0.000
```

Values from the calculation:
Uncorrected formation energy in eV per atom: 0.4700


Entry 4:
A plane-wave DFT calculation with GGA-PBE was carried out for a relaxed structure of ReSb2Cl.

```
4
Lattice="3.095 0.000 0.000 0.000 6.537 0.000 0.000 0.000 4.619" Properties=species:S:1:pos:R:3 pbc="T T T"
Sb 0.000 0.000 0.000
Cl 1.548 0.000 2.310
Re 0.000 3.268 2.310
Sb 1.548 3.268 0.000
```

Values from the calculation:
Energy above the lowest structure with this stoichiometry in meV per atom: 785
Uncorrected formation energy in eV per atom: 0.8976